! Cs2LiSeBr6 (PBE, relaxed); values from VASP
&SYSTEM
  ibrav = 0, nat = 20, ntyp = 4
/
ATOMIC_SPECIES
Cs 132.91 Cs.upf
Li 6.94 Li.upf
Se 78.96 Se.upf
Br 79.90 Br.upf
CELL_PARAMETERS angstrom
3.878 2.239 13.169
-3.878 2.239 13.169
0.000 -4.478 13.169
ATOMIC_POSITIONS angstrom
Cs 0.000 0.000 4.767
Cs 0.000 0.000 11.680
Cs 0.000 0.000 27.827
Cs 0.000 0.000 34.741
Li 0.000 0.000 16.505
Li 0.000 0.000 23.002
Se 0.000 0.000 0.000
Se 0.000 0.000 19.754
Br -1.901 -1.098 18.160
Br 0.000 -2.193 14.729
Br -1.899 1.096 14.729
Br -1.899 -1.096 24.778
Br 0.000 -2.196 21.347
Br -1.901 1.098 21.347
Br 1.901 -1.098 18.160
Br 0.000 2.196 18.160
Br 1.899 1.096 14.729
Br 1.899 -1.096 24.778
Br 0.000 2.193 24.778
Br 1.901 1.098 21.347
! - Energy above the lowest structure with this stoichiometry: 0.02 eV/f.u.
! - E_tot: -54.4 eV for the cell shown
! - Uncorrected formation energy: -10.0 eV per formula unit
! - Space-group type: R-3m

=====

! Cs2LiSiBr6 (PBE, relaxed); values from VASP
&SYSTEM
  ibrav = 0, nat = 10, ntyp = 4
/
ATOMIC_SPECIES
Cs 132.91 Cs.upf
Li 6.94 Li.upf
Si 28.09 Si.upf
Br 79.90 Br.upf
CELL_PARAMETERS angstrom
-3.837 3.837 5.434
3.837 -3.837 5.434
3.837 3.837 -5.434
ATOMIC_POSITIONS angstrom
Cs 3.837 0.000 2.717
Cs 0.000 3.837 2.717
Li 0.000 0.000 0.000
Si 0.000 0.000 5.434
Br 0.000 0.000 2.842
Br 2.004 2.004 0.000
Br 1.834 -1.834 5.434
Br -1.834 1.834 5.434
Br 0.000 0.000 8.026
Br 1.834 1.834 5.434
! - E_tot: -31.0 eV for the cell shown
! - Uncorrected formation energy: -11.9 eV per formula unit
! - Space-group type: I4/mmm

=====

! Cs3Li2SmBr9 (PBE, relaxed); values from VASP
&SYSTEM
  ibrav = 0, nat = 15, ntyp = 4
/
ATOMIC_SPECIES
Cs 132.91 Cs.upf
Li 6.94 Li.upf
Sm 150.36 Sm.upf
Br 79.90 Br.upf
CELL_PARAMETERS angstrom
7.875 0.000 0.000
-3.938 6.820 0.000
0.000 0.000 9.820
ATOMIC_POSITIONS angstrom
Cs 0.000 0.000 0.000
Cs 0.000 4.547 6.640
Cs 3.938 2.273 3.180
Li 0.000 4.547 1.425
Li 3.938 2.273 8.395
Sm 0.000 0.000 4.910
Br -1.969 3.410 0.000
Br 0.000 2.317 3.248
Br -1.931 5.662 3.248
Br 2.007 1.159 6.572
Br 3.938 0.000 0.000
Br 1.969 3.410 0.000
Br 1.931 5.662 3.248
Br 5.869 1.159 6.572
Br 3.938 4.503 6.572
! - E_tot: -50.2 eV for the cell shown
! - Uncorrected formation energy: -24.1 eV per formula unit
! - Space-group type: P-3m1

=====

! CsLi4Sm3Br12 (PBE, relaxed); values from VASP
&SYSTEM
  ibrav = 0, nat = 20, ntyp = 4
/
ATOMIC_SPECIES
Cs 132.91 Cs.upf
Li 6.94 Li.upf
Sm 150.36 Sm.upf
Br 79.90 Br.upf
CELL_PARAMETERS angstrom
7.889 4.555 3.288
-7.889 4.555 3.288
0.000 -9.109 3.288
ATOMIC_POSITIONS angstrom
Cs 0.000 0.000 0.000
Li -3.265 -5.654 4.932
Li 0.000 0.000 4.932
Li -3.265 5.654 4.932
Li 6.529 0.000 4.932
Sm -4.571 -1.192 3.288
Sm 3.318 -3.363 3.288
Sm 1.253 4.555 3.288
Br -4.637 -3.582 4.929
Br -6.698 0.000 4.932
Br -0.783 -5.806 4.936
Br -4.637 3.582 4.936
Br -2.436 0.000 4.932
Br 3.349 -5.801 4.932
Br 1.218 -2.109 4.932
Br 1.218 2.109 4.932
Br -0.783 5.806 4.929
Br 5.420 -2.225 4.929
Br 5.420 2.225 4.936
Br 3.349 5.801 4.932
! - E_tot: -74.4 eV for the cell shown
! - Uncorrected formation energy: -31.7 eV per formula unit
! - Space-group type: R32

=====

! CsLiSmBr5 (PBE, relaxed); values from VASP
&SYSTEM
  ibrav = 0, nat = 16, ntyp = 4
/
ATOMIC_SPECIES
Cs 132.91 Cs.upf
Li 6.94 Li.upf
Sm 150.36 Sm.upf
Br 79.90 Br.upf
CELL_PARAMETERS angstrom
4.878 -6.572 0.000
4.878 6.572 0.000
-4.363 0.000 10.001
ATOMIC_POSITIONS angstrom
Cs 1.606 4.506 7.501
Cs 3.787 -4.506 2.500
Li 3.787 4.043 2.500
Li 1.606 -4.043 7.501
Sm 4.878 0.000 0.000
Sm 2.697 0.000 5.001
Br -2.075 0.910 9.180
Br 2.199 2.640 3.979
Br 0.106 -0.910 4.180
Br 5.376 2.640 1.021
Br 1.606 0.911 7.501
Br 3.787 -0.911 2.500
Br 0.017 -2.640 8.980
Br 5.287 0.910 5.822
Br 3.195 -2.640 6.022
Br 7.469 -0.910 0.821
! - E_tot: -60.2 eV for the cell shown
! - Uncorrected formation energy: -14.3 eV per formula unit
! - Space-group type: C2/c

=====

! CsLi2SmBr6 (PBE, relaxed); values from VASP
&SYSTEM
  ibrav = 0, nat = 10, ntyp = 4
/
ATOMIC_SPECIES
Cs 132.91 Cs.upf
Li 6.94 Li.upf
Sm 150.36 Sm.upf
Br 79.90 Br.upf
CELL_PARAMETERS angstrom
7.114 0.000 0.000
3.371 6.558 0.000
2.928 -1.431 8.333
ATOMIC_POSITIONS angstrom
Cs 0.000 0.000 0.000
Li 7.133 4.703 3.487
Li 6.280 0.424 4.846
Sm 3.150 2.563 4.167
Br 4.693 4.532 2.774
Br 5.146 2.297 6.184
Br 4.630 0.491 2.743
Br 8.783 4.636 5.590
Br 8.268 2.830 2.149
Br 8.720 0.595 5.559
! - E_tot: -36.8 eV for the cell shown
! - Uncorrected formation energy: -17.3 eV per formula unit
! - Space-group type: P-1